one) # LiLa2CoSn

A relaxed structure of LiLa2CoSn (PBE-GGA, Alexandria). Values from VASP.

Structure (Quantum ESPRESSO input):
```
&SYSTEM
  ibrav = 0, nat = 5, ntyp = 4
/
ATOMIC_SPECIES
Li 6.94 Li.upf
Co 58.93 Co.upf
Sn 118.71 Sn.upf
La 138.91 La.upf
CELL_PARAMETERS angstrom
5.330 0.000 0.000
0.000 5.330 0.000
0.000 0.000 4.948
ATOMIC_POSITIONS angstrom
Li 2.665 2.665 2.474
Co 0.000 0.000 0.000
Sn 0.000 0.000 2.474
La 0.000 2.665 0.000
La 2.665 0.000 0.000
```

two) # LiLa2CoSn

A relaxed structure of LiLa2CoSn (PBE-GGA, Alexandria). Values from VASP.

Structure (Quantum ESPRESSO input):
```
&SYSTEM
  ibrav = 0, nat = 5, ntyp = 4
/
ATOMIC_SPECIES
Li 6.94 Li.upf
Co 58.93 Co.upf
Sn 118.71 Sn.upf
La 138.91 La.upf
CELL_PARAMETERS angstrom
-1.703 4.437 2.165
-4.925 -1.684 -0.421
0.313 -2.004 4.352
ATOMIC_POSITIONS angstrom
Li 0.156 -1.002 2.176
Co 0.000 0.000 0.000
Sn -3.157 0.375 3.048
La -2.463 -0.842 -0.211
La -0.851 2.218 1.082
```

Most stable: two)

one) # SrLiLa2Co

A relaxed structure of SrLiLa2Co (PBE-GGA, Alexandria). Values from VASP.

Structure (Quantum ESPRESSO input):
```
&SYSTEM
  ibrav = 0, nat = 5, ntyp = 4
/
ATOMIC_SPECIES
Sr 87.62 Sr.upf
Li 6.94 Li.upf
Co 58.93 Co.upf
La 138.91 La.upf
CELL_PARAMETERS angstrom
-0.247 3.290 -4.118
0.525 -4.086 -3.296
-6.111 -0.657 -0.159
ATOMIC_POSITIONS angstrom
Sr -3.056 -0.329 -0.079
Li -2.917 -0.727 -3.786
Co 0.000 0.000 0.000
La 0.262 -2.043 -1.648
La -0.123 1.645 -2.059
```

two) # SrLiLa2Co

A relaxed structure of SrLiLa2Co (PBE-GGA, Alexandria). Values from VASP.

Structure (Quantum ESPRESSO input):
```
&SYSTEM
  ibrav = 0, nat = 5, ntyp = 4
/
ATOMIC_SPECIES
Sr 87.62 Sr.upf
Li 6.94 Li.upf
Co 58.93 Co.upf
La 138.91 La.upf
CELL_PARAMETERS angstrom
5.263 0.000 0.000
0.000 5.263 0.000
0.000 0.000 5.806
ATOMIC_POSITIONS angstrom
Sr 2.632 2.632 2.903
Li 0.000 0.000 2.903
Co 0.000 0.000 0.000
La 0.000 2.632 0.000
La 2.632 0.000 0.000
```

Most stable: one)

one) # LaMgCo3

A relaxed structure of LaMgCo3 (PBE-GGA, Alexandria). Values from VASP.

Structure (Quantum ESPRESSO input):
```
&SYSTEM
  ibrav = 0, nat = 5, ntyp = 3
/
ATOMIC_SPECIES
Mg 24.30 Mg.upf
Co 58.93 Co.upf
La 138.91 La.upf
CELL_PARAMETERS angstrom
4.495 0.000 0.000
0.000 4.495 0.000
0.000 0.000 4.495
ATOMIC_POSITIONS angstrom
Mg 0.000 0.000 0.000
Co 0.000 2.248 0.000
Co 0.000 0.000 2.248
Co 2.248 0.000 0.000
La 2.248 2.248 2.248
```

two) # LaMgCo3

A relaxed structure of LaMgCo3 (PBE-GGA, Alexandria). Values from VASP.

Structure (Quantum ESPRESSO input):
```
&SYSTEM
  ibrav = 0, nat = 5, ntyp = 3
/
ATOMIC_SPECIES
Mg 24.30 Mg.upf
Co 58.93 Co.upf
La 138.91 La.upf
CELL_PARAMETERS angstrom
-3.493 -1.948 -2.405
2.804 -0.459 -3.702
1.309 -4.216 1.514
ATOMIC_POSITIONS angstrom
Mg 0.310 -3.311 -2.296
Co 1.402 -0.229 -1.851
Co 0.654 -2.108 0.757
Co -1.747 -0.974 -1.202
La 0.000 0.000 0.000
```

Most stable: one)

one) # La8MgCo2

A relaxed structure of La8MgCo2 (PBE-GGA, Alexandria). Values from VASP.

Structure (Quantum ESPRESSO input):
```
&SYSTEM
  ibrav = 0, nat = 11, ntyp = 3
/
ATOMIC_SPECIES
La 138.91 La.upf
Mg 24.30 Mg.upf
Co 58.93 Co.upf
CELL_PARAMETERS angstrom
6.576 -0.207 -0.157
-0.117 7.640 0.674
-0.117 2.706 7.176
ATOMIC_POSITIONS angstrom
La 1.064 5.693 6.573
La 5.277 2.276 3.980
La 2.623 9.022 6.846
La 3.719 1.117 0.847
La 1.064 7.863 3.713
La 5.277 4.446 1.120
La 4.457 6.076 4.611
La 1.885 4.062 3.082
Mg 0.000 0.000 0.000
Co -0.123 8.111 6.154
Co 6.465 2.028 1.539
```

two) # La8MgCo2

A relaxed structure of La8MgCo2 (PBE-GGA, Alexandria). Values from VASP.

Structure (Quantum ESPRESSO input):
```
&SYSTEM
  ibrav = 0, nat = 11, ntyp = 3
/
ATOMIC_SPECIES
La 138.91 La.upf
Mg 24.30 Mg.upf
Co 58.93 Co.upf
CELL_PARAMETERS angstrom
-4.128 -1.751 -3.606
-2.492 -4.564 6.469
-2.066 8.038 -0.137
ATOMIC_POSITIONS angstrom
La -3.332 -1.855 0.230
La -3.221 1.418 -1.486
La -2.741 1.068 1.861
La -6.316 3.096 -2.046
La -6.525 -3.103 1.204
La -5.973 0.677 0.906
La -5.492 0.327 4.253
La -5.382 3.600 2.537
Mg -0.016 0.009 0.016
Co -4.449 -1.823 2.797
Co -4.267 3.568 -0.029
```

Most stable: one)

one) # LaMg3Co

A relaxed structure of LaMg3Co (PBE-GGA, Alexandria). Values from VASP.

Structure (Quantum ESPRESSO input):
```
&SYSTEM
  ibrav = 0, nat = 5, ntyp = 3
/
ATOMIC_SPECIES
Mg 24.30 Mg.upf
Co 58.93 Co.upf
La 138.91 La.upf
CELL_PARAMETERS angstrom
-2.562 -2.968 4.690
4.088 -4.504 -0.617
3.755 2.878 3.872
ATOMIC_POSITIONS angstrom
Mg 2.044 -2.252 -0.308
Mg 1.877 1.439 1.936
Mg -1.281 -1.484 2.345
Co 2.640 -2.297 3.973
La 0.000 0.000 0.000
```

two) # LaMg3Co

A relaxed structure of LaMg3Co (PBE-GGA, Alexandria). Values from VASP.

Structure (Quantum ESPRESSO input):
```
&SYSTEM
  ibrav = 0, nat = 5, ntyp = 3
/
ATOMIC_SPECIES
Mg 24.30 Mg.upf
Co 58.93 Co.upf
La 138.91 La.upf
CELL_PARAMETERS angstrom
-2.578 -4.100 0.698
3.817 -2.658 -1.518
1.651 -0.255 4.599
ATOMIC_POSITIONS angstrom
Mg 1.909 -1.329 -0.759
Mg 0.826 -0.128 2.299
Mg -1.289 -2.050 0.349
Co 0.000 0.000 0.000
La 1.446 -3.507 1.889
```

Most stable: two)

one) # La7Mg2Co2

A relaxed structure of La7Mg2Co2 (PBE-GGA, Alexandria). Values from VASP.

Structure (Quantum ESPRESSO input):
```
&SYSTEM
  ibrav = 0, nat = 11, ntyp = 3
/
ATOMIC_SPECIES
La 138.91 La.upf
Mg 24.30 Mg.upf
Co 58.93 Co.upf
CELL_PARAMETERS angstrom
7.031 -0.009 -1.124
0.008 7.454 -0.001
-1.560 0.004 6.947
ATOMIC_POSITIONS angstrom
La 6.249 1.785 2.351
La 1.964 5.661 6.381
La -0.771 5.663 3.471
La 3.515 1.788 -0.559
La 0.000 0.000 0.000
La 2.745 5.888 2.908
La 2.734 1.561 2.914
Mg 4.506 3.723 4.792
Mg 0.972 3.726 1.030
Co 4.594 7.445 1.171
Co 0.884 0.003 4.651
```

two) # La7Mg2Co2

A relaxed structure of La7Mg2Co2 (PBE-GGA, Alexandria). Values from VASP.

Structure (Quantum ESPRESSO input):
```
&SYSTEM
  ibrav = 0, nat = 11, ntyp = 3
/
ATOMIC_SPECIES
La 138.91 La.upf
Mg 24.30 Mg.upf
Co 58.93 Co.upf
CELL_PARAMETERS angstrom
-2.509 -1.322 -2.419
-7.805 -1.296 5.933
-6.197 7.680 -0.639
ATOMIC_POSITIONS angstrom
La -3.868 0.665 -2.094
La -11.061 4.951 0.153
La -7.626 6.049 -1.138
La -6.201 0.307 0.521
La -10.582 3.244 3.461
La -12.299 6.318 3.563
La -4.798 3.756 0.053
Mg -7.214 2.002 3.519
Mg -8.122 3.276 0.892
Co -13.350 3.704 3.209
Co -3.399 0.036 0.634
```

Most stable: two)

one) # LaMg4Co

A relaxed structure of LaMg4Co (PBE-GGA, Alexandria). Values from VASP.

Structure (Quantum ESPRESSO input):
```
&SYSTEM
  ibrav = 0, nat = 12, ntyp = 3
/
ATOMIC_SPECIES
La 138.91 La.upf
Mg 24.30 Mg.upf
Co 58.93 Co.upf
CELL_PARAMETERS angstrom
4.521 0.000 0.000
0.000 7.245 0.000
0.000 0.000 8.348
ATOMIC_POSITIONS angstrom
La 0.000 4.095 6.261
La 0.000 3.150 2.087
Mg 0.000 0.000 4.174
Mg 0.000 0.000 0.000
Mg 2.261 6.935 6.261
Mg 2.261 0.311 2.087
Mg 2.261 5.122 0.506
Mg 2.261 2.123 7.842
Mg 2.261 5.122 3.668
Mg 2.261 2.123 4.680
Co 0.000 1.727 6.261
Co 0.000 5.518 2.087
```

two) # LaMg4Co

A relaxed structure of LaMg4Co (PBE-GGA, Alexandria). Values from VASP.

Structure (Quantum ESPRESSO input):
```
&SYSTEM
  ibrav = 0, nat = 6, ntyp = 3
/
ATOMIC_SPECIES
La 138.91 La.upf
Mg 24.30 Mg.upf
Co 58.93 Co.upf
CELL_PARAMETERS angstrom
5.496 0.943 1.517
1.570 5.139 2.126
1.411 0.509 5.581
ATOMIC_POSITIONS angstrom
La 0.000 0.000 0.000
Mg 5.910 2.946 4.221
Mg 3.887 2.732 6.233
Mg 3.966 5.024 4.523
Mg 3.189 2.480 3.470
Co 6.357 4.943 6.918
```

Most stable: one)